Record 1
Entry from Alexandria: NbH after structural relaxation (PBE-GGA).

```
NbH
1.0
3.4869 0.0000 0.0000
0.0000 3.4869 0.0000
0.0000 0.0000 3.4509
Nb H
2 2
Cartesian
0.0000 0.0000 0.0000 Nb
1.7434 1.7434 1.7254 Nb
0.0000 1.7434 0.8627 H
1.7434 0.0000 2.5881 H
```

Summary:
Space group: I-4m2 (119)
Total energy: -13.9 eV per formula unit
Size of the total moment: 0.0 μB/cell


Record 2
Entry from Alexandria: NbH after structural relaxation (PBE-GGA).

```
NbH
1.0
2.9799 0.0106 -0.0002
1.0142 2.8580 0.0015
0.0338 0.0630 4.9353
Nb H
2 2
Cartesian
0.7989 0.5583 2.5566 Nb
2.8005 1.9593 0.0667 Nb
2.2650 1.6209 3.2161 H
2.2976 0.5106 1.2751 H
```

Summary:
Space group: P1 (1)
Total energy: -13.8 eV per formula unit
Size of the total moment: 0.0 μB/cell


Record 3
Entry from Alexandria: NbH after structural relaxation (PBE-GGA).

```
NbH
1.0
2.8448 0.4540 -0.8670
0.4688 2.9413 -0.2923
-1.2292 0.0300 5.5258
Nb H
2 2
Cartesian
2.2250 2.6512 2.9973 Nb
-0.1406 0.7740 1.3692 Nb
1.1365 1.3834 4.0572 H
0.9480 2.0418 0.3093 H
```

Summary:
Space group: P-1 (2)
Total energy: -13.8 eV per formula unit
Size of the total moment: 0.0 μB/cell